1.
Compound: ZrZnSb
Source: Alexandria via LeMat-Bulk
Functional: GGA-PBE
Structure: optimized geometry

The structure in POSCAR format:
```
ZrZnSb
1.0
3.263 0.000 0.000
-1.632 2.826 0.000
0.000 0.000 7.220
Sb Zn Zr
1 1 1
Direct
0.000 0.000 0.997 Sb
0.667 0.333 0.346 Zn
0.333 0.667 0.658 Zr
```

## Properties
- Volume: 22.20 Å³/atom
- Formation energy from raw total energies: -15 kJ/mol of formula units
- Density of states at the Fermi level: 2.6 states/eV/cell
- Total magnetization: 0.00 μB per formula unit



2.
Compound: Zr2ZnSb
Source: Alexandria via LeMat-Bulk
Functional: GGA-PBE
Structure: optimized geometry

The structure in POSCAR format:
```
Zr2ZnSb
1.0
-0.790 -0.137 3.561
-3.454 -0.868 -0.799
1.503 -6.071 0.100
Sb Zn Zr
1 1 2
Direct
0.500 0.500 0.250 Sb
0.500 0.500 0.750 Zn
0.000 0.000 0.997 Zr
0.000 0.000 0.503 Zr
```

## Properties
- Volume: 20.84 Å³/atom
- Formation energy from raw total energies: -147 kJ/mol of formula units
- Density of states at the Fermi level: 3.5 states/eV/cell
- Total magnetization: 0.00 μB per formula unit



Q: Which of these has the highest volume?
A: ZrZnSb



Q: Among the records above, which one has the highest formation energy from raw total energies?
A: ZrZnSb



Q: Among the records above, which one has the lowest volume?
A: Zr2ZnSb